Record 1
Computed, not measured: a relaxed CoRu2Pb crystal at the PBE level of DFT.

Lattice parameters (Å, degrees): 4.473 4.473 4.473 60.00 60.00 60.00
Site moments in Bohr magnetons follow the coordinates.
Fractional positions:
Ru 0.750 0.750 0.750  1.56
Co 0.500 0.500 0.500  1.58
Pb 0.250 0.250 0.250  -0.01
Ru 0.000 0.000 0.000  0.77

Output
* uncorrected energy: -0.497 Ry/atom
* crystal system: cubic
* DFT formation energy: 0.577 eV/atom
* symmetry: No. 216



Record 2
Computed, not measured: a relaxed CoRu2Pb crystal at the PBE level of DFT.

Lattice parameters (Å, degrees): 4.137 2.935 5.558 72.45 90.00 90.00
Site moments in Bohr magnetons follow the coordinates.
Fractional positions:
Ru 0.000 0.095 0.036  0.64
Pb 0.500 0.750 0.750  -0.02
Ru 0.000 0.405 0.464  0.64
Co 0.500 0.250 0.250  1.76

Output
* uncorrected energy: -0.495 Ry/atom
* crystal system: monoclinic
* DFT formation energy: 0.607 eV/atom
* symmetry: No. 10



Record 3
Computed, not measured: a relaxed CoRu2Pb crystal at the PBE level of DFT.

Lattice parameters (Å, degrees): 3.075 3.088 6.644 90.00 90.00 90.00
Site moments in Bohr magnetons follow the coordinates.
Fractional positions:
Pb 0.500 0.500 0.750  0.00
Ru 0.000 0.000 0.455  0.31
Co 0.500 0.500 0.250  1.50
Ru 0.000 0.000 0.045  0.31

Output
* uncorrected energy: -0.500 Ry/atom
* crystal system: orthorhombic
* DFT formation energy: 0.542 eV/atom
* symmetry: No. 47



Record 4
Computed, not measured: a relaxed CoRu2Pb crystal at the PBE level of DFT.

Lattice parameters (Å, degrees): 8.634 8.634 8.634 19.85 19.85 19.85
Site moments in Bohr magnetons follow the coordinates.
Fractional positions:
Ru 0.510 0.510 0.510  0.47
Pb 0.750 0.750 0.750  -0.01
Ru 0.990 0.990 0.990  0.47
Co 0.250 0.250 0.250  1.69

Output
* uncorrected energy: -0.487 Ry/atom
* crystal system: trigonal
* DFT formation energy: 0.713 eV/atom
* symmetry: No. 166



Record 5
Computed, not measured: a relaxed CoRu2Pb crystal at the PBE level of DFT.

Lattice parameters (Å, degrees): 4.754 4.754 4.754 130.29 130.29 72.94
Fractional positions:
Co 0.250 0.750 0.500
Ru 0.000 0.000 0.000
Ru 0.500 0.500 0.000
Pb 0.750 0.250 0.500

Output
* uncorrected energy: -0.500 Ry/atom
* crystal system: tetragonal
* DFT formation energy: 0.534 eV/atom
* symmetry: No. 139



Record 6
Computed, not measured: a relaxed CoRu3Pb crystal at the PBE level of DFT.

Lattice parameters (Å, degrees): 4.507 4.507 4.507 90.00 90.00 90.00
Site moments in Bohr magnetons follow the coordinates.
Fractional positions:
Ru 0.500 0.000 0.000  0.73
Co 0.000 0.000 0.000  1.44
Ru 0.000 0.500 0.000  1.10
Pb 0.500 0.500 0.500  -0.03
Ru 0.000 0.000 0.500  1.65

Output
* energy relative to the lowest polymorph listed for this composition: 0 meV per atom
* uncorrected energy: -0.480 Ry/atom
* crystal system: cubic
* DFT formation energy: 1.193 eV/atom
* symmetry: No. 221



Record 7
Computed, not measured: a relaxed CoRuPb crystal at the PBE level of DFT.

Lattice parameters (Å, degrees): 3.074 3.074 6.391 90.00 90.00 120.00
Site moments in Bohr magnetons follow the coordinates.
Fractional positions:
Ru 0.333 0.667 0.697  0.94
Co 0.000 0.000 0.973  1.73
Pb 0.667 0.333 0.330  -0.02

Output
* energy relative to the lowest polymorph listed for this composition: 180 meV per atom
* uncorrected energy: -0.439 Ry/atom
* crystal system: trigonal
* DFT formation energy: 0.724 eV/atom
* symmetry: No. 156



Record 8
Computed, not measured: a relaxed CoRu2Pb crystal at the PBE level of DFT.

Lattice parameters (Å, degrees): 3.683 2.887 6.585 64.16 90.00 90.00
Site moments in Bohr magnetons follow the coordinates.
Fractional positions:
Ru 0.500 0.246 0.254  0.05
Pb 0.500 0.764 0.736  -0.01
Ru 0.000 0.956 0.043  -0.18
Co 0.000 0.534 0.467  1.03

Output
* uncorrected energy: -0.503 Ry/atom
* crystal system: monoclinic
* DFT formation energy: 0.496 eV/atom
* symmetry: No. 6



Record 9
Computed, not measured: a relaxed CoRu2Pb crystal at the PBE level of DFT.

Lattice parameters (Å, degrees): 3.353 4.441 4.280 90.00 90.00 90.00
Site moments in Bohr magnetons follow the coordinates.
Fractional positions:
Ru 0.000 0.000 0.000  1.63
Co 0.500 0.000 0.500  1.59
Ru 0.500 0.500 0.000  0.79
Pb 0.000 0.500 0.500  -0.03

Output
* uncorrected energy: -0.494 Ry/atom
* crystal system: orthorhombic
* DFT formation energy: 0.627 eV/atom
* symmetry: No. 47



Record 10
Computed, not measured: a relaxed CoRuPb4 crystal at the PBE level of DFT.

Lattice parameters (Å, degrees): 6.180 6.180 6.180 60.00 60.00 60.00
Site moments in Bohr magnetons follow the coordinates.
Fractional positions:
Ru 0.750 0.750 0.750  1.74
Pb 0.375 0.874 0.375  -0.03
Pb 0.375 0.375 0.375  -0.03
Pb 0.874 0.375 0.375  -0.03
Co 0.000 0.000 0.000  2.02
Pb 0.375 0.375 0.874  -0.03

Output
* uncorrected energy: -0.290 Ry/atom
* crystal system: cubic
* DFT formation energy: 1.262 eV/atom
* symmetry: No. 216



Record 11
Computed, not measured: a relaxed CoSi2RuPb crystal at the PBE level of DFT.

Lattice parameters (Å, degrees): 4.183 5.265 4.183 90.00 90.00 90.00
Site moments in Bohr magnetons follow the coordinates.
Fractional positions:
Pb 0.000 0.500 0.000  0.00
Si 0.500 0.000 0.000  0.00
Si 0.000 0.000 0.500  -0.01
Ru 0.500 0.500 0.500  0.50
Co 0.000 0.000 0.000  -0.03

Output
* E_form (uncorrected): 69.1 kJ per mole of atoms
* uncorrected energy: -0.402 Ry/atom
* crystal system: tetragonal
* symmetry: No. 123



Record 12
Computed, not measured: a relaxed ZrCo2RuPb crystal at the PBE level of DFT.

Lattice parameters (Å, degrees): 4.535 5.042 4.535 90.00 90.00 90.00
Site moments in Bohr magnetons follow the coordinates.
Fractional positions:
Co 0.500 0.000 0.000  1.52
Pb 0.000 0.500 0.000  0.03
Ru 0.000 0.000 0.000  0.62
Zr 0.500 0.500 0.500  -0.15
Co 0.000 0.000 0.500  1.97

Output
* uncorrected energy: -0.452 Ry/atom
* crystal system: tetragonal
* DFT formation energy: 1.005 eV/atom
* symmetry: No. 123



Record 13
Computed, not measured: a relaxed CoPb3S crystal at the PBE level of DFT.

Lattice parameters (Å, degrees): 5.482 5.482 5.482 90.00 90.00 90.00
Site moments in Bohr magnetons follow the coordinates.
Fractional positions:
Pb 0.000 0.000 0.500  0.00
Pb 0.000 0.500 0.000  -0.02
Pb 0.500 0.000 0.000  0.01
Co 0.500 0.500 0.500  2.08
S 0.000 0.000 0.000  0.00

Output
* energy relative to the lowest polymorph listed for this composition: 671 meV per atom
* E_form (uncorrected): 74.2 kJ per mole of atoms
* uncorrected energy: -0.272 Ry/atom
* crystal system: cubic
* symmetry: No. 221



Record 14
Computed, not measured: a relaxed Co2PbS crystal at the PBE level of DFT.

Lattice parameters (Å, degrees): 4.452 4.452 4.452 60.00 60.00 60.00
Site moments in Bohr magnetons follow the coordinates.
Fractional positions:
Pb 0.500 0.500 0.500  -0.06
Co 0.250 0.250 0.250  1.31
Co 0.750 0.750 0.750  1.31
S 0.000 0.000 0.000  0.10

Output
* energy relative to the lowest polymorph listed for this composition: 459 meV per atom
* E_form (uncorrected): 52.5 kJ per mole of atoms
* uncorrected energy: -0.365 Ry/atom
* crystal system: cubic
* symmetry: No. 225



Record 15
Computed, not measured: a relaxed CoPb3S crystal at the PBE level of DFT.

Lattice parameters (Å, degrees): 5.047 5.047 5.047 90.00 90.00 90.00
Fractional positions:
Pb 0.000 0.000 0.500
Co 0.000 0.000 0.000
Pb 0.000 0.500 0.000
Pb 0.500 0.000 0.000
S 0.500 0.500 0.500

Output
* energy relative to the lowest polymorph listed for this composition: 0 meV per atom
* E_form (uncorrected): 9.4 kJ per mole of atoms
* uncorrected energy: -0.321 Ry/atom
* crystal system: cubic
* symmetry: No. 221



Record 16
Computed, not measured: a relaxed Co2PbS2 crystal at the PBE level of DFT.

Lattice parameters (Å, degrees): 4.240 4.240 5.501 67.33 67.33 90.00
Fractional positions:
S 0.750 0.250 0.500
Pb 0.000 0.000 0.000
Co 0.663 0.663 0.673
Co 0.337 0.337 0.327
S 0.250 0.750 0.500

Output
* E_form (uncorrected): 1.9 kJ per mole of atoms
* uncorrected energy: -0.383 Ry/atom
* crystal system: tetragonal
* symmetry: No. 139



Record 17
Computed, not measured: a relaxed Co2PbS crystal at the PBE level of DFT.

Lattice parameters (Å, degrees): 4.566 4.566 7.663 72.67 72.67 90.00
Site moments in Bohr magnetons follow the coordinates.
Fractional positions:
Co 0.375 0.527 0.750  0.78
Co 0.473 0.125 0.250  0.69
Pb 0.750 0.250 0.500  -0.03
Co 0.875 0.723 0.750  0.84
S 0.250 0.750 0.500  0.01
S 0.500 0.500 0.000  0.01
Pb 0.000 0.000 0.000  -0.03
Co 0.277 0.625 0.250  0.69

Output
* energy relative to the lowest polymorph listed for this composition: 0 meV per atom
* E_form (uncorrected): 8.2 kJ per mole of atoms
* uncorrected energy: -0.399 Ry/atom
* crystal system: tetragonal
* symmetry: No. 122



Record 18
Computed, not measured: a relaxed CoPb2S crystal at the PBE level of DFT.

Lattice parameters (Å, degrees): 6.222 6.222 7.459 65.35 65.35 90.00
Site moments in Bohr magnetons follow the coordinates.
Fractional positions:
S 0.250 0.750 0.500  0.02
Pb 0.659 0.125 0.250  -0.04
Co 0.750 0.250 0.500  1.06
Pb 0.875 0.909 0.750  -0.03
Pb 0.375 0.341 0.750  -0.04
S 0.500 0.500 0.000  0.02
Pb 0.091 0.625 0.250  -0.04
Co 0.000 0.000 0.000  1.07

Output
* E_form (uncorrected): 34.5 kJ per mole of atoms
* uncorrected energy: -0.316 Ry/atom
* crystal system: tetragonal
* symmetry: No. 122



Record 19
Computed, not measured: a relaxed CoPbS3 crystal at the PBE level of DFT.

Lattice parameters (Å, degrees): 4.576 4.576 4.576 90.00 90.00 90.00
Site moments in Bohr magnetons follow the coordinates.
Fractional positions:
S 0.500 0.000 0.000  0.26
S 0.000 0.500 0.000  0.16
Pb 0.500 0.500 0.500  0.01
S 0.000 0.000 0.500  0.12
Co 0.000 0.000 0.000  1.24

Output
* E_form (uncorrected): 3.4 kJ per mole of atoms
* uncorrected energy: -0.338 Ry/atom
* crystal system: cubic
* symmetry: No. 221



Record 20
Computed, not measured: a relaxed Co2SbPbS crystal at the PBE level of DFT.

Lattice parameters (Å, degrees): 4.310 5.578 4.310 90.00 90.00 90.00
Site moments in Bohr magnetons follow the coordinates.
Fractional positions:
Co 0.500 0.000 0.000  1.55
S 0.000 0.000 0.000  0.04
Sb 0.000 0.500 0.000  0.05
Co 0.000 0.000 0.500  1.18
Pb 0.500 0.500 0.500  -0.01

Output
* E_form (uncorrected): 43.4 kJ per mole of atoms
* uncorrected energy: -0.352 Ry/atom
* crystal system: tetragonal
* symmetry: No. 123